Computed, not measured: a geometry-optimized RbInAu2 structure at the GGA-PBE level of DFT.

Cell lengths 3.7813, 3.7813, 7.7828 Å; angles 90.00, 90.00, 90.00 degrees
Space group P4/mmm (No. 123)
One atom of each set of equivalent atoms:
Rb: 0.0000 0.0000 0.0000 [1 per cell]
In: 0.0000 0.0000 0.5000 [1 per cell]
Au: 0.5000 0.5000 0.3145 [2 per cell]

Computed, not measured: a geometry-optimized Rb2In7Au12 structure at the GGA-PBE level of DFT.

Cell lengths 10.7734, 10.7734, 5.1691 Å; angles 90.00, 90.00, 120.00 degrees
Space group P-3 (No. 147)
One atom of each set of equivalent atoms:
Rb: 0.3333 0.6667 0.2744 [2 per cell]
In: 0.0000 0.0000 0.5000 [1 per cell]
In: 0.0978 0.7167 0.8453 [6 per cell]
Au: 0.0622 0.4504 0.7018 [6 per cell]
Au: 0.1374 0.8508 0.3372 [6 per cell]

Computed, not measured: a geometry-optimized Rb2In2Au15 structure at the GGA-PBE level of DFT.

Cell lengths 10.0340, 10.0340, 14.0863 Å; angles 90.00, 90.00, 120.00 degrees
Space group R-3m (No. 166, hexagonal axes)
One atom of each set of equivalent atoms:
Rb: 0.0000 0.0000 0.1445 [6 per cell]
In: 0.0000 0.0000 0.3967 [6 per cell]
Au: 0.0000 0.3123 0.5000 [18 per cell]
Au: 0.0000 0.5000 0.0000 [9 per cell]
Au: 0.0046 0.5023 0.3433 [18 per cell]

Computed, not measured: a geometry-optimized RbIn2Au structure at the GGA-PBE level of DFT.

Cell lengths 4.6861, 6.4398, 8.2825 Å; angles 90.00, 90.00, 90.00 degrees
Space group Pmmn (No. 59, origin choice 2)
One atom of each set of equivalent atoms:
Rb: 0.2500 0.2500 0.0628 [2 per cell]
In: 0.2500 0.5066 0.6390 [4 per cell]
Au: 0.2500 0.7500 0.3334 [2 per cell]

Number 1: total energy -2.7030 eV/atom. Number 2: total energy -3.0482 eV/atom. Number 3: total energy -3.1068 eV/atom. Number 4: total energy -2.6488 eV/atom.